Run w
This record from Alexandria via LeMat-Bulk describes a relaxed TiGe2Cl crystal. The functional is GGA-PBE.

Calculated values
magnetization	0.00	μB/f.u.
D(E_F)	5.80	states/eV/f.u.

Cell: 3.6620 3.6620 11.4508 Å, 80.80 80.80 90.00°
Last column: nearest neighbours and their distance in Å.
Fractional positions:
Ge 0.6381 0.1250 0.2500  4 Ge 2.52-2.66
Ge 0.1119 0.6250 0.2500  4 Ge 2.52-2.66
Ge 0.3750 0.3619 0.7500  4 Ge 2.52-2.66
Ge 0.8750 0.8881 0.7500  4 Ge 2.52-2.66
Cl 0.5000 0.5000 0.0000  4 Ti 2.59
Cl 0.2500 0.7500 0.5000  4 Ti 2.59
Ti 0.0000 0.0000 0.0000  4 Cl 2.59
Ti 0.7500 0.2500 0.5000  4 Cl 2.59

Run x
This record from Alexandria via LeMat-Bulk describes a relaxed TiGe2Cl crystal. The functional is GGA-PBE.

Calculated values
magnetization	0.00	μB/f.u.
D(E_F)	6.14	states/eV/f.u.

Cell: 4.7569 4.7569 4.7569 Å, 60.00 60.00 60.00°
Last column: nearest neighbours and their distance in Å.
Fractional positions:
Ge 0.2500 0.2500 0.2500  4 Cl 2.91, 4 Ti 2.91
Ge 0.7500 0.7500 0.7500  4 Ti 2.91, 4 Cl 2.91
Cl 0.0000 0.0000 0.0000  8 Ge 2.91
Ti 0.5000 0.5000 0.5000  8 Ge 2.91

Verdict on stability: run w comes out on top.

Run w
This record from Alexandria via LeMat-Bulk describes a relaxed TlGe2Cl crystal. The functional is GGA-PBE.

Calculated values
magnetization	0.00	μB/f.u.
D(E_F)	1.74	states/eV/f.u.

Cell: 5.0399 5.0399 5.0399 Å, 60.00 60.00 60.00°
Last column: nearest neighbours and their distance in Å.
Fractional positions:
Tl 0.5000 0.5000 0.5000  8 Ge 3.09
Ge 0.2500 0.2500 0.2500  4 Tl 3.09, 4 Cl 3.09
Ge 0.7500 0.7500 0.7500  4 Tl 3.09, 4 Cl 3.09
Cl 0.0000 0.0000 0.0000  8 Ge 3.09

Run x
This record from Alexandria via LeMat-Bulk describes a relaxed TlGe2Cl crystal. The functional is GGA-PBE.

Calculated values
magnetization	0.00	μB/f.u.
D(E_F)	1.92	states/eV/f.u.

Cell: 4.5368 4.5368 10.7588 Å, 77.83 77.83 90.00°
Last column: nearest neighbours and their distance in Å.
Fractional positions:
Tl 0.0000 0.0000 0.0000  4 Ge 3.20, 4 Cl 3.21
Tl 0.7500 0.2500 0.5000  4 Ge 3.20, 4 Cl 3.21
Ge 0.5356 0.1250 0.2500  2 Ge 2.70, 2 Cl 2.90
Ge 0.2144 0.6250 0.2500  2 Ge 2.70, 2 Cl 2.90
Ge 0.3750 0.4644 0.7500  2 Ge 2.70, 2 Cl 2.90
Ge 0.8750 0.7856 0.7500  2 Ge 2.70, 2 Cl 2.90
Cl 0.5000 0.5000 0.0000  4 Ge 2.90, 4 Tl 3.21
Cl 0.2500 0.7500 0.5000  4 Ge 2.90, 4 Tl 3.21

Verdict on stability: run x comes out on top.

Run w
This record from Alexandria via LeMat-Bulk describes a relaxed Tl3GeCl crystal. The functional is GGA-PBE.

Calculated values
magnetization	0.66	μB/f.u.
D(E_F)	5.59	states/eV/f.u.

Cell: 5.7807 5.7807 5.7807 Å, 90.00 90.00 90.00°
Last column: nearest neighbours and their distance in Å.
Fractional positions:
Tl 0.0000 0.5000 0.0000  2 Cl 2.89
Tl 0.0000 0.0000 0.5000  2 Cl 2.89
Tl 0.5000 0.0000 0.0000  2 Cl 2.89
Ge 0.5000 0.5000 0.5000  12 Tl 4.09
Cl 0.0000 0.0000 0.0000  6 Tl 2.89

Run x
This record from Alexandria via LeMat-Bulk describes a relaxed Tl3GeCl crystal. The functional is GGA-PBE.

Calculated values
magnetization	0.00	μB/f.u.
D(E_F)	2.08	states/eV/f.u.

Cell: 5.7422 5.7422 5.7422 Å, 90.00 90.00 90.00°
Last column: nearest neighbours and their distance in Å.
Fractional positions:
Tl 0.0000 0.5000 0.0000  2 Ge 2.87
Tl 0.0000 0.0000 0.5000  2 Ge 2.87
Tl 0.5000 0.0000 0.0000  2 Ge 2.87
Ge 0.0000 0.0000 0.0000  6 Tl 2.87
Cl 0.5000 0.5000 0.5000  12 Tl 4.06

Verdict on stability: run x comes out on top.

Run w
This record from Alexandria via LeMat-Bulk describes a relaxed Tl2Ge2Cl crystal. The functional is GGA-PBE.

Calculated values
magnetization	0.00	μB/f.u.
D(E_F)	1.15	states/eV/f.u.

Cell: 8.3380 8.3380 4.1384 Å, 90.00 90.00 90.00°
Last column: nearest neighbours and their distance in Å.
Fractional positions:
Tl 0.2985 0.7985 0.0000  2 Cl 3.00, 2 Ge 3.11
Tl 0.7985 0.7015 0.0000  2 Cl 3.00, 2 Ge 3.11
Tl 0.7015 0.2015 0.0000  2 Cl 3.00, 2 Ge 3.11
Tl 0.2015 0.2985 0.0000  2 Cl 3.00, 2 Ge 3.11
Ge 0.1013 0.6013 0.5000  1 Ge 2.39
Ge 0.6013 0.8987 0.5000  1 Ge 2.39
Ge 0.8987 0.3987 0.5000  1 Ge 2.39
Ge 0.3987 0.1013 0.5000  1 Ge 2.39
Cl 0.0000 0.0000 0.0000  4 Tl 3.00
Cl 0.5000 0.5000 0.0000  4 Tl 3.00

Run x
This record from Alexandria via LeMat-Bulk describes a relaxed Tl2Ge2Cl crystal. The functional is GGA-PBE.

Calculated values
magnetization	0.00	μB/f.u.
D(E_F)	2.56	states/eV/f.u.

Cell: 7.9346 7.9346 4.1782 Å, 90.00 90.00 90.00°
Last column: nearest neighbours and their distance in Å.
Fractional positions:
Tl 0.1943 0.6943 0.5000  6 Ge 3.02-3.27
Tl 0.6943 0.8057 0.5000  6 Ge 3.02-3.27
Tl 0.8057 0.3057 0.5000  6 Ge 3.02-3.27
Tl 0.3057 0.1943 0.5000  6 Ge 3.02-3.27
Ge 0.3889 0.8889 0.0000  1 Ge 2.49
Ge 0.8889 0.6111 0.0000  1 Ge 2.49
Ge 0.6111 0.1111 0.0000  1 Ge 2.49
Ge 0.1111 0.3889 0.0000  1 Ge 2.49
Cl 0.0000 0.0000 0.0000  4 Ge 3.21, 8 Tl 3.55
Cl 0.5000 0.5000 0.0000  4 Ge 3.21, 8 Tl 3.55

Verdict on stability: run x comes out on top.

Run w
This record from Alexandria via LeMat-Bulk describes a relaxed Tl2GeCl4 crystal. The functional is GGA-PBE.

Calculated values
magnetization	0.00	μB/f.u.
D(E_F)	0.00	states/eV/f.u.

Cell: 5.2485 5.2485 8.8320 Å, 72.71 72.71 90.00°
Last column: nearest neighbours and their distance in Å.
Fractional positions:
Tl 0.3571 0.3571 0.2857  1 Cl 3.06
Tl 0.6429 0.6429 0.7143  1 Cl 3.06
Ge 0.0000 0.0000 0.0000  6 Cl 2.62-2.66
Cl 0.1661 0.1661 0.6679  1 Ge 2.66
Cl 0.8339 0.8339 0.3321  1 Ge 2.66
Cl 0.0000 0.5000 0.0000  2 Ge 2.62
Cl 0.5000 0.0000 0.0000  2 Ge 2.62

Run x
This record from Alexandria via LeMat-Bulk describes a relaxed Tl2GeCl4 crystal. The functional is GGA-PBE.

Calculated values
magnetization	0.00	μB/f.u.
D(E_F)	0.00	states/eV/f.u.

Cell: 7.4671 6.7902 10.0753 Å, 90.00 117.30 90.00°
Last column: nearest neighbours and their distance in Å.
Fractional positions:
Tl 0.6955 0.7500 0.0999  2 Cl 3.06-3.35
Tl 0.3045 0.2500 0.9001  2 Cl 3.06-3.35
Tl 0.1850 0.2500 0.4398  2 Cl 3.04-3.25
Tl 0.8150 0.7500 0.5602  2 Cl 3.04-3.25
Ge 0.1737 0.7500 0.1331  3 Cl 2.32-2.48
Ge 0.8263 0.2500 0.8669  3 Cl 2.32-2.48
Cl 0.4115 0.5023 0.2367  1 Ge 2.32
Cl 0.1934 0.7500 0.8935  1 Ge 2.48
Cl 0.8066 0.2500 0.1065  1 Ge 2.48
Cl 0.4115 0.9977 0.2367  1 Ge 2.32
Cl 0.9246 0.2500 0.5993  2 Tl 3.04-3.06, 1 Ge 3.10
Cl 0.5885 0.0023 0.7633  1 Ge 2.32
Cl 0.5885 0.4977 0.7633  1 Ge 2.32
Cl 0.0754 0.7500 0.4007  2 Tl 3.04-3.06, 1 Ge 3.10

Verdict on stability: run x comes out on top.

Run w
This record from Alexandria via LeMat-Bulk describes a relaxed Ge3WCl crystal. The functional is GGA-PBE.

Calculated values
magnetization	0.00	μB/f.u.
D(E_F)	2.13	states/eV/f.u.

Cell: 4.9314 4.9314 4.9314 Å, 90.00 90.00 90.00°
Last column: nearest neighbours and their distance in Å.
Fractional positions:
Ge 0.0000 0.5000 0.0000  2 W 2.47
Ge 0.0000 0.0000 0.5000  2 W 2.47
Ge 0.5000 0.0000 0.0000  2 W 2.47
W 0.0000 0.0000 0.0000  6 Ge 2.47
Cl 0.5000 0.5000 0.5000  12 Ge 3.49

Run x
This record from Alexandria via LeMat-Bulk describes a relaxed Ge3WCl crystal. The functional is GGA-PBE.

Calculated values
magnetization	2.48	μB/f.u.
D(E_F)	5.37	states/eV/f.u.

Cell: 4.7608 4.7608 4.7608 Å, 90.00 90.00 90.00°
Last column: nearest neighbours and their distance in Å.
Fractional positions:
Ge 0.0000 0.5000 0.0000  2 Cl 2.38
Ge 0.0000 0.0000 0.5000  2 Cl 2.38
Ge 0.5000 0.0000 0.0000  2 Cl 2.38
W 0.5000 0.5000 0.5000  12 Ge 3.37
Cl 0.0000 0.0000 0.0000  6 Ge 2.38

Verdict on stability: run w comes out on top.